# 1
# Ti4VOs5

Crystalline Ti4VOs5 at its relaxed geometry (PBE, the Alexandria database).

a b c (Å): 3.075 3.075 15.420
angles (deg): 90.00 90.00 90.00
Positions (direct):
1 Ti 0.000 0.000 0.100
2 Ti 0.000 0.000 0.301
3 Ti 0.000 0.000 0.699
4 Ti 0.000 0.000 0.900
5 V 0.000 0.000 0.500
6 Os 0.500 0.500 0.000
7 Os 0.500 0.500 0.201
8 Os 0.500 0.500 0.403
9 Os 0.500 0.500 0.597
10 Os 0.500 0.500 0.799

Output
E_form ... -590 kJ/mol of formula units


# 2
# Zr2AlV2Ru5

Crystalline Zr2AlV2Ru5 at its relaxed geometry (PBE, the Alexandria database).

a b c (Å): 9.989 9.989 3.168
angles (deg): 90.00 90.00 90.00
Positions (direct):
1 Zr 0.173 0.327 0.000
2 Zr 0.327 0.827 0.000
3 Zr 0.673 0.173 0.000
4 Zr 0.827 0.673 0.000
5 Al 0.000 0.000 0.000
6 Al 0.500 0.500 0.000
7 V 0.131 0.631 0.000
8 V 0.369 0.131 0.000
9 V 0.631 0.869 0.000
10 V 0.869 0.369 0.000
11 Ru 0.000 0.500 0.500
12 Ru 0.062 0.801 0.500
13 Ru 0.199 0.062 0.500
14 Ru 0.301 0.562 0.500
15 Ru 0.438 0.301 0.500
16 Ru 0.500 0.000 0.500
17 Ru 0.562 0.699 0.500
18 Ru 0.699 0.438 0.500
19 Ru 0.801 0.938 0.500
20 Ru 0.938 0.199 0.500

Output
E_form ... -303 kJ/mol of formula units


# 3
# SrNi3Sn3

Crystalline SrNi3Sn3 at its relaxed geometry (PBE, the Alexandria database).

a b c (Å): 8.690 8.690 8.690
angles (deg): 46.98 46.98 46.98
Positions (direct):
1 Sr 0.156 0.156 0.156
2 Sr 0.844 0.844 0.844
3 Ni 0.033 0.271 0.822
4 Ni 0.178 0.967 0.729
5 Ni 0.271 0.822 0.033
6 Ni 0.729 0.178 0.967
7 Ni 0.822 0.033 0.271
8 Ni 0.967 0.729 0.178
9 Sn 0.085 0.633 0.472
10 Sn 0.367 0.528 0.915
11 Sn 0.472 0.085 0.633
12 Sn 0.528 0.915 0.367
13 Sn 0.633 0.472 0.085
14 Sn 0.915 0.367 0.528

Output
E_form ... -146 kJ/mol of formula units
E above lowest polymorph ... 0.000 eV/atom


# 4
# Na2MgAs3Pd4

Crystalline Na2MgAs3Pd4 at its relaxed geometry (PBE, the Alexandria database).

a b c (Å): 4.265 4.265 10.633
angles (deg): 90.00 90.00 90.00
Positions (direct):
1 Na 0.000 0.500 0.238
2 Na 0.500 0.000 0.762
3 Mg 0.000 0.000 0.500
4 As 0.000 0.500 0.870
5 As 0.500 0.000 0.130
6 As 0.500 0.500 0.500
7 Pd 0.000 0.000 0.000
8 Pd 0.000 0.500 0.641
9 Pd 0.500 0.000 0.359
10 Pd 0.500 0.500 0.000

Output
E_form ... -448 kJ/mol of formula units


# 5
# RhINO2

Crystalline RhINO2 at its relaxed geometry (PBE, the Alexandria database).

a b c (Å): 3.686 3.686 7.779
angles (deg): 90.00 90.00 90.00
Positions (direct):
1 Rh 0.000 0.000 0.000
2 I 0.000 0.000 0.500
3 N 0.500 0.500 0.500
4 O 0.000 0.500 0.000
5 O 0.500 0.000 0.000

Output
Uncorrected formation energy ... 3.524 eV per formula unit


# 6
# ZrTlCl2

Crystalline ZrTlCl2 at its relaxed geometry (PBE, the Alexandria database).

a b c (Å): 3.343 4.962 6.515
angles (deg): 90.00 104.46 90.00
Positions (direct):
1 Zr 0.000 0.000 0.000
2 Tl 0.372 0.500 0.735
3 Cl 0.064 0.500 0.132
4 Cl 0.653 0.000 0.314

Output
E above lowest polymorph ... 0.274 eV/atom
Uncorrected formation energy ... -3.214 eV per formula unit


# 7
# YMo2SeCl

Crystalline YMo2SeCl at its relaxed geometry (PBE, the Alexandria database).

a b c (Å): 5.486 5.486 4.929
angles (deg): 90.00 90.00 90.00
Positions (direct):
1 Y 0.000 0.000 0.000
2 Mo 0.000 0.500 0.000
3 Mo 0.500 0.000 0.000
4 Se 0.500 0.500 0.500
5 Cl 0.000 0.000 0.500

Output
Uncorrected formation energy ... 7.349 eV per formula unit


# 8
# Sr8GaHg2

Crystalline Sr8GaHg2 at its relaxed geometry (PBE, the Alexandria database).

a b c (Å): 10.596 10.596 8.020
angles (deg): 107.40 107.40 31.33
Positions (direct):
1 Sr 0.033 0.033 0.300
2 Sr 0.205 0.205 0.819
3 Sr 0.333 0.333 0.534
4 Sr 0.408 0.408 0.058
5 Sr 0.592 0.592 0.942
6 Sr 0.667 0.667 0.466
7 Sr 0.795 0.795 0.181
8 Sr 0.967 0.967 0.700
9 Ga 0.500 0.500 0.500
10 Hg 0.183 0.183 0.209
11 Hg 0.817 0.817 0.791

Output
E_form ... -267 kJ/mol of formula units
E above lowest polymorph ... 0.000 eV/atom


# 9
# YHg2Au

Crystalline YHg2Au at its relaxed geometry (PBE, the Alexandria database).

a b c (Å): 3.761 3.724 6.722
angles (deg): 90.00 90.05 90.00
Positions (direct):
1 Y 0.000 0.000 0.000
2 Hg 0.001 0.000 0.526
3 Hg 0.501 0.500 0.278
4 Au 0.500 0.500 0.783

Output
E_form ... -156 kJ/mol of formula units


# 10
# Ac3Al4Ir2

Crystalline Ac3Al4Ir2 at its relaxed geometry (PBE, the Alexandria database).

a b c (Å): 6.089 6.089 8.651
angles (deg): 100.11 100.11 44.99
Positions (direct):
1 Ac 0.000 0.000 0.000
2 Ac 0.394 0.394 0.300
3 Ac 0.606 0.606 0.700
4 Al 0.118 0.118 0.413
5 Al 0.281 0.281 0.910
6 Al 0.719 0.719 0.090
7 Al 0.882 0.882 0.587
8 Ir 0.307 0.307 0.630
9 Ir 0.693 0.693 0.370

Output
E_form ... -489 kJ/mol of formula units


# 11
# KHg2Os

Crystalline KHg2Os at its relaxed geometry (PBE, the Alexandria database).

a b c (Å): 7.448 7.465 3.046
angles (deg): 90.00 90.00 90.00
Positions (direct):
1 K 0.000 0.000 0.000
2 K 0.500 0.500 0.000
3 Hg 0.250 0.250 0.500
4 Hg 0.250 0.750 0.500
5 Hg 0.750 0.250 0.500
6 Hg 0.750 0.750 0.500
7 Os 0.000 0.500 0.000
8 Os 0.500 0.000 0.000

Output
E_form ... 305 kJ/mol of formula units
E above lowest polymorph ... 0.208 eV/atom


# 12
# Ti3NiBi

Crystalline Ti3NiBi at its relaxed geometry (PBE, the Alexandria database).

a b c (Å): 6.975 3.826 7.322
angles (deg): 90.00 111.62 90.00
Positions (direct):
1 Ti 0.007 0.250 0.323
2 Ti 0.301 0.250 0.119
3 Ti 0.337 0.750 0.445
4 Ti 0.663 0.250 0.555
5 Ti 0.699 0.750 0.881
6 Ti 0.993 0.750 0.677
7 Ni 0.079 0.750 0.103
8 Ni 0.921 0.250 0.897
9 Bi 0.338 0.250 0.737
10 Bi 0.662 0.750 0.263

Output
E_form ... -100 kJ/mol of formula units
E above lowest polymorph ... 0.000 eV/atom


| no. | Fermi-level density of states (states/eV per cell) |
| --- | --- |
| 1 | 4.022 |
| 2 | 10.856 |
| 3 | 12.764 |
| 4 | 6.184 |
| 5 | 3.380 |
| 6 | 1.932 |
| 7 | 5.387 |
| 8 | 12.783 |
| 9 | 1.860 |
| 10 | 7.016 |
| 11 | 2.992 |
| 12 | 10.806 |